P | PBE LiRePd, optimized geometry; size of the total moment = 0.000 μB/f.u.; crystal system = orthorhombic; SG = Pnma, No. 62; V = 15.6 A^3/atom
1.0
-0.206 7.508 4.427
-2.266 -0.803 1.257
4.358 -3.278 5.764
Pd Re Li
4 4 4
Direct
0.310 0.250 0.365 Pd
0.810 0.250 0.135 Pd
0.690 0.750 0.635 Pd
0.190 0.750 0.865 Pd
0.389 0.250 0.056 Re
0.111 0.750 0.556 Re
0.611 0.750 0.944 Re
0.889 0.250 0.444 Re
0.917 0.250 0.816 Li
0.583 0.750 0.316 Li
0.083 0.750 0.184 Li
0.417 0.250 0.684 Li

---

Q | PBE LiRePd, optimized geometry; size of the total moment = 0.000 μB/f.u.; crystal system = hexagonal; SG = P-6m2, No. 187; V = 14.9 A^3/atom
1.0
3.883 -2.242 0.000
0.000 4.483 0.000
0.000 0.000 2.570
Pd Re Li
1 1 1
Direct
0.333 0.667 0.000 Pd
0.000 0.000 0.000 Re
0.667 0.333 0.500 Li

---

P is favored, and the nearest alternative lies 251 meV per atom above it.

---

P | PBE LiRePd, optimized geometry; size of the total moment = 0.000 μB/f.u.; crystal system = triclinic; SG = P1, No. 1; V = 14.5 A^3/atom
1.0
7.149 0.000 -0.009
0.000 2.745 0.001
1.041 -0.006 4.437
Re Li Pd
2 2 2
Direct
0.356 0.788 0.709 Re
0.355 0.220 0.221 Re
0.702 0.242 0.420 Li
0.009 0.242 0.675 Li
0.682 0.734 0.932 Pd
0.030 0.732 0.159 Pd

---

Q | PBE LiRePd, optimized geometry; size of the total moment = 0.000 μB/f.u.; crystal system = hexagonal; SG = P6_3/mmc, No. 194; V = 13.7 A^3/atom
1.0
4.969 0.000 0.000
0.000 4.373 0.000
0.000 0.000 7.573
Pd Li Re
4 4 4
Direct
0.250 0.250 0.417 Pd
0.250 0.750 0.917 Pd
0.750 0.250 0.083 Pd
0.750 0.750 0.583 Pd
0.250 0.250 0.083 Li
0.750 0.250 0.417 Li
0.750 0.750 0.917 Li
0.250 0.750 0.583 Li
0.500 0.750 0.250 Re
0.000 0.250 0.750 Re
0.000 0.750 0.250 Re
0.500 0.250 0.750 Re

---

P is favored, and the nearest alternative lies 154 meV per atom above it.

---

P | PBE LiRePd, optimized geometry; size of the total moment = 2.833 μB/f.u.; crystal system = hexagonal; SG = P6_3/mmc, No. 194; V = 27.7 A^3/atom
1.0
1.031 0.369 4.330
-3.873 -1.859 -1.223
4.228 -8.631 -0.271
Pd Re Li
2 2 2
Direct
0.000 0.000 0.000 Pd
0.000 0.000 0.500 Pd
0.000 0.000 0.250 Re
0.000 0.000 0.750 Re
0.667 0.333 0.750 Li
0.333 0.667 0.250 Li

---

Q | PBE LiRePd, optimized geometry; size of the total moment = 0.000 μB/f.u.; crystal system = orthorhombic; SG = Amm2, No. 38; V = 14.1 A^3/atom
1.0
4.545 0.000 0.000
0.000 3.844 -2.424
0.000 3.844 2.424
Li Pd Re
2 2 2
Direct
0.500 0.013 0.987 Li
0.000 0.705 0.295 Li
0.000 0.371 0.975 Pd
0.000 0.025 0.629 Pd
0.500 0.670 0.652 Re
0.500 0.348 0.330 Re

---

Q is favored, and the nearest alternative lies 2107 meV per atom above it.

---

P | PBE LiRe3Pd, optimized geometry; size of the total moment = 0.720 μB/f.u.; crystal system = cubic; SG = Pm-3m, No. 221; V = 21.2 A^3/atom
1.0
4.733 0.000 0.000
0.000 4.733 0.000
0.000 0.000 4.733
Re Li Pd
3 1 1
Direct
0.000 0.000 0.500 Re
0.000 0.500 0.000 Re
0.500 0.000 0.000 Re
0.500 0.500 0.500 Li
0.000 0.000 0.000 Pd

---

Q | PBE LiRe3Pd, optimized geometry; size of the total moment = 0.000 μB/f.u.; crystal system = cubic; SG = Pm-3m, No. 221; V = 14.1 A^3/atom
1.0
4.128 0.000 0.000
0.000 4.128 0.000
0.000 0.000 4.128
Li Re Pd
1 3 1
Direct
0.000 0.000 0.000 Li
0.000 0.500 0.000 Re
0.000 0.000 0.500 Re
0.500 0.000 0.000 Re
0.500 0.500 0.500 Pd

---

Q is favored, and the nearest alternative lies 1260 meV per atom above it.

---

P | PBE LiPd2Rh, optimized geometry; size of the total moment = 0.000 μB/f.u.; crystal system = tetragonal; SG = I-42d, No. 122; V = 15.6 A^3/atom
1.0
3.734 0.000 0.000
0.000 3.734 0.000
1.867 1.867 8.946
Pd Li Rh
4 2 2
Direct
0.126 0.625 0.250 Pd
0.875 0.874 0.750 Pd
0.624 0.125 0.250 Pd
0.375 0.376 0.750 Pd
0.250 0.750 0.500 Li
0.500 0.500 0.000 Li
0.000 0.000 0.000 Rh
0.750 0.250 0.500 Rh

---

Q | PBE LiPd2Rh, optimized geometry; size of the total moment = 0.819 μB/f.u.; crystal system = trigonal; SG = R-3m, No. 166; V = 14.5 A^3/atom
1.0
-1.774 -2.065 -0.378
-0.138 -2.046 1.830
-6.808 3.101 5.016
Pd Li Rh
2 1 1
Direct
0.747 0.747 0.758 Pd
0.253 0.253 0.242 Pd
0.000 0.000 0.000 Li
0.500 0.500 0.500 Rh

---

Q is favored, and the nearest alternative lies 329 meV per atom above it.

---

P | PBE LiPd2Rh, optimized geometry; size of the total moment = 0.000 μB/f.u.; crystal system = orthorhombic; SG = Cmmm, No. 65; V = 14.3 A^3/atom
1.0
-1.931 0.112 1.930
2.883 -2.162 3.010
0.664 4.631 0.396
Pd Li Rh
2 1 1
Direct
0.000 0.500 0.000 Pd
0.000 0.000 0.500 Pd
0.500 0.500 0.500 Li
0.500 0.000 0.000 Rh

---

Q | PBE LiPd2Rh, optimized geometry; size of the total moment = 0.000 μB/f.u.; crystal system = tetragonal; SG = P4/mmm, No. 123; V = 14.5 A^3/atom
1.0
-2.319 1.468 0.290
-2.219 -3.775 1.355
1.118 0.906 4.352
Pd Rh Li
2 1 1
Direct
0.000 0.500 0.000 Pd
0.000 0.000 0.500 Pd
0.500 0.500 0.500 Rh
0.500 0.000 0.000 Li

---

P is favored, and the nearest alternative lies 54 meV per atom above it.

---

P | PBE LiPd2Rh, optimized geometry; size of the total moment = 1.737 μB/f.u.; crystal system = tetragonal; SG = P4/mmm, No. 123; V = 14.2 A^3/atom
1.0
2.804 0.000 0.000
0.000 2.804 0.000
0.000 0.000 7.239
Li Pd Rh
1 2 1
Direct
0.500 0.500 0.000 Li
0.000 0.000 0.235 Pd
0.000 0.000 0.765 Pd
0.500 0.500 0.500 Rh

---

Q | PBE LiPd2Rh, optimized geometry; size of the total moment = 1.552 μB/f.u.; crystal system = cubic; SG = Fm-3m, No. 225; V = 14.7 A^3/atom
1.0
-1.294 -3.867 1.544
-1.266 -0.376 4.156
-4.203 -0.674 0.946
Li Pd Rh
1 2 1
Direct
0.000 0.000 0.000 Li
0.750 0.750 0.750 Pd
0.250 0.250 0.250 Pd
0.500 0.500 0.500 Rh

---

R | PBE LiPd2Rh, optimized geometry; size of the total moment = 0.573 μB/f.u.; crystal system = trigonal; SG = R3m, No. 160; V = 14.5 A^3/atom
1.0
-0.195 -2.540 -1.053
-0.752 -2.107 1.612
-8.761 -0.069 -1.819
Li Pd Rh
1 2 1
Direct
0.666 0.666 0.001 Li
0.081 0.081 0.758 Pd
0.253 0.253 0.242 Pd
0.500 0.500 0.499 Rh

---

R is favored, and the nearest alternative lies 5 meV per atom above it.

---

P | PBE Li5PdRh, optimized geometry; size of the total moment = 0.000 μB/f.u.; crystal system = monoclinic; SG = C2/c, No. 15; V = 14.6 A^3/atom
1.0
0.533 -4.135 2.836
4.585 -1.617 1.337
0.622 4.103 8.577
Li Rh Pd
10 2 2
Direct
0.626 0.673 0.466 Li
0.719 0.804 0.182 Li
0.327 0.374 0.034 Li
0.673 0.626 0.966 Li
0.804 0.719 0.682 Li
0.219 0.781 0.250 Li
0.281 0.196 0.818 Li
0.374 0.327 0.534 Li
0.781 0.219 0.750 Li
0.196 0.281 0.318 Li
0.000 0.000 0.000 Rh
0.000 0.000 0.500 Rh
0.281 0.719 0.750 Pd
0.719 0.281 0.250 Pd

---

Q | PBE Li5PdRh, optimized geometry; size of the total moment = 0.010 μB/f.u.; crystal system = tetragonal; SG = P4/mmm, No. 123; V = 15.3 A^3/atom
1.0
3.953 0.661 0.000
-0.662 3.953 0.000
0.000 0.000 6.678
Pd Li Rh
1 5 1
Direct
0.000 0.000 0.000 Pd
0.000 0.500 0.771 Li
0.500 0.000 0.229 Li
0.000 0.500 0.229 Li
0.500 0.000 0.771 Li
0.000 0.000 0.500 Li
0.500 0.500 0.500 Rh

---

P is favored, and the nearest alternative lies 56 meV per atom above it.